No. 1
Below is LiFeSb2 after structural relaxation, with properties calculated at the PBE-GGA level.

Excess energy over the best structure of this formula in the dataset (eV/f.u.): 0.787
E_form (uncorrected) (eV per atom): 0.102
ρ (Mg/m³): 6.63
N(E_F) (states/eV/f.u.): 4.23

a = 4.6152 Å, b = 4.6152 Å, c = 3.6030 Å
α = 90.00°, β = 90.00°, γ = 90.00°
Last column: nearest neighbours and their distance in Å.
Fractional coordinates of all 4 atoms:
Li 0.0000 0.0000 0.0000  8 Sb 2.93, 4 Fe 3.26
Fe 0.5000 0.5000 0.0000  8 Sb 2.93, 4 Li 3.26
Sb 0.0000 0.5000 0.5000  4 Fe 2.93, 4 Li 2.93, 4 Sb 3.26
Sb 0.5000 0.0000 0.5000  4 Fe 2.93, 4 Li 2.93, 4 Sb 3.26

No. 2
Below is VSnS2 after structural relaxation, with properties calculated at the PBE-GGA level.

E_form (uncorrected) (eV per atom): 0.038
ρ (Mg/m³): 3.76
N(E_F) (states/eV/f.u.): 3.23

a = 8.0418 Å, b = 8.0418 Å, c = 8.0418 Å
α = 28.31°, β = 28.31°, γ = 28.31°
Last column: nearest neighbours and their distance in Å.
Fractional coordinates of all 4 atoms:
V 0.0000 0.0000 0.0000  2 S 2.25
Sn 0.5000 0.5000 0.5000  6 S 2.78
S 0.0974 0.0974 0.0974  1 V 2.25
S 0.9026 0.9026 0.9026  1 V 2.25

No. 3
Below is Pr3Y7Sc2 after structural relaxation, with properties calculated at the PBE-GGA level.

Formation energy from the elements (meV per atom): 237.6
ρ (Mg/m³): 4.61
N(E_F) (states/eV/f.u.): 20.72

a = 3.6143 Å, b = 5.5690 Å, c = 20.3984 Å
α = 90.00°, β = 95.11°, γ = 90.00°
Last column: nearest neighbours and their distance in Å.
Fractional coordinates of all 12 atoms:
Pr 0.0000 0.0000 0.0000  8 Y 3.32-3.35, 2 Pr 3.61
Pr 0.3298 0.5000 0.6620  4 Sc 3.56, 2 Pr 3.61, 6 Y 3.76-3.81
Pr 0.6702 0.5000 0.3380  4 Sc 3.56, 2 Pr 3.61, 6 Y 3.76-3.81
Y 0.0890 0.5000 0.1760  6 Y 3.41-3.61, 2 Sc 3.43, 2 Pr 3.76
Y 0.2148 0.0000 0.4297  1 Sc 3.15, 2 Y 3.38
Y 0.4298 0.0000 0.8615  2 Sc 3.30, 2 Pr 3.34-3.35, 6 Y 3.41-3.61
Y 0.5000 0.5000 0.0000  4 Pr 3.32, 2 Y 3.61
Y 0.5702 0.0000 0.1385  2 Sc 3.30, 2 Pr 3.34-3.35, 6 Y 3.41-3.61
Y 0.7852 0.0000 0.5703  1 Sc 3.15, 2 Y 3.38
Y 0.9110 0.5000 0.8240  6 Y 3.41-3.61, 2 Sc 3.43, 2 Pr 3.76
Sc 0.1389 0.0000 0.2746  5 Y 3.15-3.43
Sc 0.8611 0.0000 0.7254  5 Y 3.15-3.43

No. 4
Below is Mn2AsBr after structural relaxation, with properties calculated at the PBE-GGA level.

Excess energy over the best structure of this formula in the dataset (eV/f.u.): 0.895
E_form (uncorrected) (eV per atom): 0.149
ρ (Mg/m³): 5.97
N(E_F) (states/eV/f.u.): 2.74

a = 3.2822 Å, b = 3.2822 Å, c = 6.8315 Å
α = 90.00°, β = 90.00°, γ = 90.00°
Last column: nearest neighbours and their distance in Å.
Fractional coordinates of all 4 atoms:
Mn 0.0000 0.0000 0.1950  1 Mn 2.66, 4 As 2.68
Mn 0.0000 0.0000 0.8050  1 Mn 2.66, 4 As 2.68
As 0.5000 0.5000 0.0000  8 Mn 2.68
Br 0.5000 0.5000 0.5000  8 Mn 3.12, 4 Br 3.28, 2 As 3.42

No. 5
Below is Cu2AsO6 after structural relaxation, with properties calculated at the PBE-GGA level.

Excess energy over the best structure of this formula in the dataset (eV/f.u.): 2.338
E_form (uncorrected) (eV per atom): -0.290
ρ (Mg/m³): 3.99
N(E_F) (states/eV/f.u.): 2.70

a = 2.9720 Å, b = 8.5015 Å, c = 4.9104 Å
α = 90.00°, β = 90.00°, γ = 90.00°
Last column: nearest neighbours and their distance in Å.
Fractional coordinates of all 9 atoms:
Cu 0.0000 0.1803 0.0000  3 O 1.86-1.90
Cu 0.0000 0.8197 0.0000  3 O 1.86-1.90
As 0.5000 0.5000 0.6451  4 O 1.70-1.83
O 0.0000 0.0000 0.7848  2 Cu 1.86
O 0.0000 0.5000 0.4276  2 As 1.83
O 0.5000 0.1329 0.2251  2 Cu 1.90
O 0.5000 0.3318 0.8304  1 As 1.70
O 0.5000 0.6682 0.8304  1 As 1.70
O 0.5000 0.8671 0.2251  2 Cu 1.90

No. 6
Below is Zr2GaOs2 after structural relaxation, with properties calculated at the PBE-GGA level.

Formation energy from the elements (meV per atom): -226.9
ρ (Mg/m³): 11.34
N(E_F) (states/eV/f.u.): 3.62

a = 6.6012 Å, b = 6.6012 Å, c = 4.2531 Å
α = 90.00°, β = 90.00°, γ = 90.00°
Last column: nearest neighbours and their distance in Å.
Fractional coordinates of all 10 atoms:
Zr 0.1814 0.3186 0.0000  6 Os 2.74-2.99
Zr 0.3186 0.8186 0.0000  6 Os 2.74-2.99
Zr 0.6814 0.1814 0.0000  6 Os 2.74-2.99
Zr 0.8186 0.6814 0.0000  6 Os 2.74-2.99
Ga 0.0000 0.0000 0.5000  4 Os 2.58
Ga 0.5000 0.5000 0.5000  4 Os 2.58
Os 0.1335 0.6335 0.5000  1 Os 2.49, 2 Ga 2.58, 2 Zr 2.74
Os 0.3665 0.1335 0.5000  1 Os 2.49, 2 Ga 2.58, 2 Zr 2.74
Os 0.6335 0.8665 0.5000  1 Os 2.49, 2 Ga 2.58, 2 Zr 2.74
Os 0.8665 0.3665 0.5000  1 Os 2.49, 2 Ga 2.58, 2 Zr 2.74

No. 7
Below is CuSi5 after structural relaxation, with properties calculated at the PBE-GGA level.

Excess energy over the best structure of this formula in the dataset (eV/f.u.): 0.000
E_form (uncorrected) (eV per atom): 0.306
ρ (Mg/m³): 3.80
N(E_F) (states/eV/f.u.): 2.58

a = 4.7439 Å, b = 5.8497 Å, c = 5.8497 Å
α = 33.28°, β = 90.00°, γ = 90.00°
Last column: nearest neighbours and their distance in Å.
Fractional coordinates of all 6 atoms:
Cu 0.0000 0.0000 0.0000  6 Si 2.47-2.51
Si 0.0000 0.3380 0.3380  2 Cu 2.47, 4 Si 2.51-2.54
Si 0.0000 0.6671 0.6671  4 Si 2.50-2.54, 2 Cu 2.51
Si 0.5000 0.2657 0.2657  6 Si 2.51-2.54
Si 0.5000 0.5956 0.5956  6 Si 2.48-2.54
Si 0.5000 0.9320 0.9320  4 Si 2.48-2.51, 2 Cu 2.49

No. 8
Below is GeOsN2O after structural relaxation, with properties calculated at the PBE-GGA level.

E_form (uncorrected) (eV per atom): 0.449
ρ (Mg/m³): 8.50
N(E_F) (states/eV/f.u.): 2.77

a = 3.8338 Å, b = 3.8338 Å, c = 4.0800 Å
α = 90.00°, β = 90.00°, γ = 90.00°
Last column: nearest neighbours and their distance in Å.
Fractional coordinates of all 5 atoms:
Ge 0.0000 0.0000 0.0000  4 O 2.71, 8 N 2.80
Os 0.5000 0.5000 0.5000  4 N 1.92, 2 O 2.04
N 0.0000 0.5000 0.5000  2 Os 1.92
N 0.5000 0.0000 0.5000  2 Os 1.92
O 0.5000 0.5000 0.0000  2 Os 2.04

No. 9
Below is Ti3Cu2Pd3 after structural relaxation, with properties calculated at the PBE-GGA level.

Formation energy from the elements (meV per atom): -343.7
ρ (Mg/m³): 8.28
N(E_F) (states/eV/f.u.): 7.23

a = 3.9751 Å, b = 3.9771 Å, c = 7.4828 Å
α = 90.00°, β = 90.00°, γ = 90.00°
Last column: nearest neighbours and their distance in Å.
Fractional coordinates of all 8 atoms:
Ti 0.0000 0.0000 0.0000  4 Ti 2.74, 4 Cu 2.75, 4 Pd 2.81
Ti 0.5000 0.0000 0.2521  6 Pd 2.72-2.74, 2 Ti 2.74, 4 Cu 2.81
Ti 0.5000 0.0000 0.7479  6 Pd 2.72-2.74, 2 Ti 2.74, 4 Cu 2.81
Cu 0.0000 0.5000 0.2531  6 Pd 2.71-2.75, 6 Ti 2.75-2.81
Cu 0.0000 0.5000 0.7469  6 Pd 2.71-2.75, 6 Ti 2.75-2.81
Pd 0.0000 0.0000 0.5000  4 Cu 2.71, 4 Ti 2.72, 4 Pd 2.81
Pd 0.5000 0.5000 0.0000  8 Ti 2.74-2.81, 4 Cu 2.75
Pd 0.5000 0.5000 0.5000  4 Cu 2.71, 4 Ti 2.72, 4 Pd 2.81

No. 10
Below is Nd2ThSe after structural relaxation, with properties calculated at the PBE-GGA level.

Excess energy over the best structure of this formula in the dataset (eV/f.u.): 0.328
E_form (uncorrected) (eV per atom): -0.716
ρ (Mg/m³): 8.46
N(E_F) (states/eV/f.u.): 2.66

a = 3.7029 Å, b = 3.7029 Å, c = 8.5840 Å
α = 90.00°, β = 90.00°, γ = 90.00°
Last column: nearest neighbours and their distance in Å.
Fractional coordinates of all 4 atoms:
Nd 0.0000 0.0000 0.2131  4 Se 3.19
Nd 0.0000 0.0000 0.7869  4 Se 3.19
Th 0.5000 0.5000 0.5000  8 Nd 3.59, 4 Th 3.70
Se 0.5000 0.5000 0.0000  8 Nd 3.19

No. 11
Below is Al2SiTe after structural relaxation, with properties calculated at the PBE-GGA level.

Excess energy over the best structure of this formula in the dataset (eV/f.u.): 0.957
E_form (uncorrected) (eV per atom): 0.097
ρ (Mg/m³): 4.04
N(E_F) (states/eV/f.u.): 1.88

a = 6.7882 Å, b = 6.7882 Å, c = 6.7882 Å
α = 33.77°, β = 33.77°, γ = 33.77°
Last column: nearest neighbours and their distance in Å.
Fractional coordinates of all 4 atoms:
Al 0.0000 0.0000 0.0000  3 Si 2.62
Al 0.2017 0.2017 0.2017  3 Si 2.59
Si 0.5993 0.5993 0.5993  6 Al 2.59-2.62
Te 0.7698 0.7698 0.7698  6 Al 2.96-3.02, 1 Si 3.27

No. 12
Below is Pr2Cu5Ni2Rh after structural relaxation, with properties calculated at the PBE-GGA level.

Formation energy from the elements (meV per atom): -145.3
ρ (Mg/m³): 8.53
N(E_F) (states/eV/f.u.): 3.36

a = 8.9964 Å, b = 8.9964 Å, c = 3.9425 Å
α = 90.00°, β = 90.00°, γ = 90.00°
Last column: nearest neighbours and their distance in Å.
Fractional coordinates of all 20 atoms:
Pr 0.1876 0.3124 0.0000  3 Ni 2.58-2.77
Pr 0.3124 0.8124 0.0000  3 Ni 2.58-2.77
Pr 0.6876 0.1876 0.0000  3 Ni 2.58-2.77
Pr 0.8124 0.6876 0.0000  3 Ni 2.58-2.77
Cu 0.0000 0.5000 0.5000  4 Ni 2.42, 4 Cu 2.71
Cu 0.0530 0.7962 0.5000  2 Ni 2.64, 3 Cu 2.68-2.71, 2 Rh 2.73
Cu 0.2038 0.0530 0.5000  2 Ni 2.64, 3 Cu 2.68-2.71, 2 Rh 2.73
Cu 0.2962 0.5530 0.5000  2 Ni 2.64, 3 Cu 2.68-2.71, 2 Rh 2.73
Cu 0.4470 0.2962 0.5000  2 Ni 2.64, 3 Cu 2.68-2.71, 2 Rh 2.73
Cu 0.5000 0.0000 0.5000  4 Ni 2.42, 4 Cu 2.71
Cu 0.5530 0.7038 0.5000  2 Ni 2.64, 3 Cu 2.68-2.71, 2 Rh 2.73
Cu 0.7038 0.4470 0.5000  2 Ni 2.64, 3 Cu 2.68-2.71, 2 Rh 2.73
Cu 0.7962 0.9470 0.5000  2 Ni 2.64, 3 Cu 2.68-2.71, 2 Rh 2.73
Cu 0.9470 0.2038 0.5000  2 Ni 2.64, 3 Cu 2.68-2.71, 2 Rh 2.73
Ni 0.1100 0.6100 0.0000  6 Cu 2.42-2.64, 1 Pr 2.58
Ni 0.3900 0.1100 0.0000  6 Cu 2.42-2.64, 1 Pr 2.58
Ni 0.6100 0.8900 0.0000  6 Cu 2.42-2.64, 1 Pr 2.58
Ni 0.8900 0.3900 0.0000  6 Cu 2.42-2.64, 1 Pr 2.58
Rh 0.0000 0.0000 0.0000  8 Cu 2.73
Rh 0.5000 0.5000 0.0000  8 Cu 2.73